The following is a GGA-PBEsol calculation of a geometry-optimized KZn structure, from Alexandria via LeMat-Bulk.

Lattice parameters (Å, degrees): 9.236 9.236 9.236 27.48 27.48 27.48
Atoms (fractional coordinates):
K1 0.090 0.090 0.090
K2 0.910 0.910 0.910
Zn1 0.333 0.333 0.333
Zn2 0.667 0.667 0.667

Properties
Spin magnetization (μB/f.u.): 0.0
Space-group type: No. 166

---

The following is a GGA-PBEsol calculation of a geometry-optimized KZn structure, from Alexandria via LeMat-Bulk.

Lattice parameters (Å, degrees): 5.357 5.357 5.357 60.00 60.00 60.00
Atoms (fractional coordinates):
K1 0.000 0.000 0.000
Zn1 0.750 0.750 0.750

Properties
Spin magnetization (μB/f.u.): 0.7
Space-group type: No. 216

---

The following is a GGA-PBEsol calculation of a geometry-optimized K5Zn structure, from Alexandria via LeMat-Bulk.

Lattice parameters (Å, degrees): 4.334 4.334 17.920 90.00 90.00 90.00
Atoms (fractional coordinates):
K1 0.000 0.000 0.000
K2 0.000 0.000 0.391
K3 0.000 0.000 0.609
K4 0.500 0.500 0.197
K5 0.500 0.500 0.803
Zn1 0.500 0.500 0.500

Properties
Spin magnetization (μB/f.u.): 0.0
Space-group type: No. 123

---

The following is a GGA-PBEsol calculation of a geometry-optimized KZn13 structure, from Alexandria via LeMat-Bulk.

Lattice parameters (Å, degrees): 8.546 8.546 8.546 60.00 60.00 60.00
Atoms (fractional coordinates):
K1 0.250 0.250 0.250
K2 0.750 0.750 0.750
Zn1 0.000 0.000 0.000
Zn2 0.061 0.299 0.701
Zn3 0.061 0.701 0.939
Zn4 0.061 0.939 0.299
Zn5 0.201 0.439 0.799
Zn6 0.201 0.561 0.439
Zn7 0.201 0.799 0.561
Zn8 0.299 0.061 0.939
Zn9 0.299 0.701 0.061
Zn10 0.299 0.939 0.701
Zn11 0.439 0.201 0.561
Zn12 0.439 0.561 0.799
Zn13 0.439 0.799 0.201
Zn14 0.500 0.500 0.500
Zn15 0.561 0.201 0.799
Zn16 0.561 0.439 0.201
Zn17 0.561 0.799 0.439
Zn18 0.701 0.061 0.299
Zn19 0.701 0.299 0.939
Zn20 0.701 0.939 0.061
Zn21 0.799 0.201 0.439
Zn22 0.799 0.439 0.561
Zn23 0.799 0.561 0.201
Zn24 0.939 0.061 0.701
Zn25 0.939 0.299 0.061
Zn26 0.939 0.701 0.299

Properties
Spin magnetization (μB/f.u.): 0.0
Space-group type: No. 226

---

So what do the calculations give for electronic total energy? Going down the list: -1.253, -0.698, -1.096, -1.625 eV per atom.